Crystalline Li3CrCd at its relaxed geometry, computed with PBE.

It has space group Pm-3m (No. 221), with a = 4.967 Å, b = 4.967 Å, c = 4.967 Å, α = 90.00°, β = 90.00° and γ = 90.00°. The inequivalent atoms are Li at (0.000, 0.000, 0.500), Cr at (0.000, 0.000, 0.000) and Cd at (0.500, 0.500, 0.500).

The value obtained for the total energy is -2.5894 eV per atom. The calculation puts the distance to the lowest polymorph of the same formula at 0.00 eV/f.u. Its density of states at the Fermi level is 0.521 states/eV/atom. The magnetic moment comes out at 1.019 μB per atom.